one) A plane-wave DFT calculation with PBE was carried out for a geometry-optimized CsSnAu3S4 structure.

Cell lengths 6.1829, 7.7816, 11.0898 Å; angles 90.00, 99.16, 90.00 degrees
Positions (direct):
Sn: 0.9069 0.7500 0.2156
Sn: 0.0931 0.2500 0.7844
Cs: 0.7931 0.7500 0.6447
Cs: 0.2069 0.2500 0.3553
S: 0.1436 0.7500 0.4123
S: 0.3186 0.5096 0.7713
S: 0.9405 0.2500 0.9810
S: 0.6814 0.4904 0.2287
S: 0.3186 0.9904 0.7713
S: 0.0595 0.7500 0.0190
S: 0.8564 0.2500 0.5877
S: 0.6814 0.0096 0.2287
Au: 0.4683 0.7500 0.3275
Au: 0.3657 0.5631 0.0877
Au: 0.5317 0.2500 0.6725
Au: 0.3657 0.9369 0.0877
Au: 0.6343 0.4369 0.9123
Au: 0.6343 0.0631 0.9123

Calculated density: 6.120 g/cm3

=====

two) A plane-wave DFT calculation with PBE was carried out for a geometry-optimized CsSnAu3S4 structure.

Cell lengths 6.5112, 6.5112, 6.5112 Å; angles 90.00, 90.00, 90.00 degrees
Positions (direct):
Cs: 0.0000 0.0000 0.0000
S: 0.2874 0.7126 0.7126
S: 0.2874 0.2874 0.2874
S: 0.7126 0.2874 0.7126
S: 0.7126 0.7126 0.2874
Sn: 0.5000 0.5000 0.5000
Au: 0.5000 0.5000 0.0000
Au: 0.0000 0.5000 0.5000
Au: 0.5000 0.0000 0.5000

Calculated density: 5.840 g/cm3

=====

From most stable to least stable, the computed energies give one), two).

=====

one) A plane-wave DFT calculation with PBE was carried out for a geometry-optimized CsSiAu structure.

Cell lengths 5.5486, 5.5486, 5.5486 Å; angles 60.00, 60.00, 60.00 degrees
Positions (direct):
Cs: 0.0000 0.0000 0.0000
Au: 0.2500 0.2500 0.2500
Si: 0.7500 0.7500 0.7500

Calculated density: 4.921 g/cm3

=====

two) A plane-wave DFT calculation with PBE was carried out for a geometry-optimized CsSiAu structure.

Cell lengths 5.2519, 5.2519, 5.2519 Å; angles 60.00, 60.00, 60.00 degrees
Positions (direct):
Cs: 0.2500 0.2500 0.2500
Au: 0.0000 0.0000 0.0000
Si: 0.7500 0.7500 0.7500

Calculated density: 5.803 g/cm3

=====

From most stable to least stable, the computed energies give two), one).

=====

one) A plane-wave DFT calculation with PBE was carried out for a geometry-optimized CsSmAu structure.

Cell lengths 5.1833, 5.1833, 5.1833 Å; angles 60.00, 60.00, 60.00 degrees
Positions (direct):
Au: 0.2500 0.2500 0.2500
Sm: 0.7500 0.7500 0.7500
Cs: 0.0000 0.0000 0.0000

Calculated density: 8.098 g/cm3

=====

two) A plane-wave DFT calculation with PBE was carried out for a geometry-optimized CsSmAu structure.

Cell lengths 5.1716, 5.1716, 5.1716 Å; angles 60.00, 60.00, 60.00 degrees
Positions (direct):
Au: 0.2500 0.2500 0.2500
Cs: 0.7500 0.7500 0.7500
Sm: 0.0000 0.0000 0.0000

Calculated density: 8.154 g/cm3

=====

From most stable to least stable, the computed energies give two), one).

=====

one) A plane-wave DFT calculation with PBE was carried out for a geometry-optimized CsZrTe4Au3 structure.

Cell lengths 6.9304, 6.9304, 6.9304 Å; angles 90.00, 90.00, 90.00 degrees
Positions (direct):
Au: 0.0000 0.5000 0.5000
Au: 0.5000 0.5000 0.0000
Au: 0.5000 0.0000 0.5000
Te: 0.7257 0.2743 0.7257
Te: 0.2743 0.7257 0.7257
Te: 0.7257 0.7257 0.2743
Te: 0.2743 0.2743 0.2743
Zr: 0.5000 0.5000 0.5000
Cs: 0.0000 0.0000 0.0000

Calculated density: 6.612 g/cm3

=====

two) A plane-wave DFT calculation with PBE was carried out for a geometry-optimized CsZrTe4Au3 structure.

Cell lengths 6.6353, 8.2850, 10.9648 Å; angles 90.00, 105.79, 90.00 degrees
Positions (direct):
Zr: 0.3620 0.2500 0.2045
Zr: 0.6380 0.7500 0.7955
Au: 0.6929 0.0490 0.9758
Au: 0.6929 0.4510 0.9758
Au: 0.3071 0.5490 0.0242
Au: 0.3071 0.9510 0.0242
Au: 0.1350 0.7500 0.8032
Au: 0.8650 0.2500 0.1968
Te: 0.2024 0.2500 0.4097
Te: 0.6257 0.5203 0.2429
Te: 0.3743 0.0203 0.7571
Te: 0.9554 0.7500 0.0271
Te: 0.0446 0.2500 0.9729
Te: 0.7976 0.7500 0.5903
Te: 0.3743 0.4797 0.7571
Te: 0.6257 0.9797 0.2429
Cs: 0.1958 0.7500 0.3927
Cs: 0.8042 0.2500 0.6073

Calculated density: 7.589 g/cm3

=====

From most stable to least stable, the computed energies give two), one).

=====

one) A plane-wave DFT calculation with PBE was carried out for a geometry-optimized CuAu2 structure.

Cell lengths 5.6253, 4.1390, 8.3114 Å; angles 90.00, 90.00, 90.00 degrees
Positions (direct):
Au: 0.6514 0.7500 0.9245
Au: 0.1514 0.7500 0.5755
Au: 0.5803 0.7500 0.2687
Au: 0.0803 0.7500 0.2313
Au: 0.4197 0.2500 0.7313
Au: 0.3486 0.2500 0.0755
Au: 0.9197 0.2500 0.7687
Au: 0.8486 0.2500 0.4245
Cu: 0.8482 0.2500 0.0903
Cu: 0.6518 0.7500 0.5903
Cu: 0.1518 0.7500 0.9097
Cu: 0.3482 0.2500 0.4097

Calculated density: 15.702 g/cm3

=====

two) A plane-wave DFT calculation with PBE was carried out for a geometry-optimized CuAu2 structure.

Cell lengths 5.4047, 5.4047, 5.4047 Å; angles 60.00, 60.00, 60.00 degrees
Positions (direct):
Cu: 0.0000 0.0000 0.0000
Cu: 0.2500 0.2500 0.2500
Au: 0.1250 0.6250 0.6250
Au: 0.6250 0.6250 0.6250
Au: 0.6250 0.1250 0.6250
Au: 0.6250 0.6250 0.1250

Calculated density: 13.610 g/cm3

=====

From most stable to least stable, the computed energies give one), two).

=====

one) A plane-wave DFT calculation with PBE was carried out for a geometry-optimized LuGaCuAu structure.

Cell lengths 4.6116, 4.6116, 4.6116 Å; angles 60.00, 60.00, 60.00 degrees
Positions (direct):
Cu: 0.5000 0.5000 0.5000
Au: 0.7500 0.7500 0.7500
Ga: 0.0000 0.0000 0.0000
Lu: 0.2500 0.2500 0.2500

Calculated density: 12.097 g/cm3

=====

two) A plane-wave DFT calculation with PBE was carried out for a geometry-optimized LuGaCuAu structure.

Cell lengths 4.6481, 4.6481, 4.6481 Å; angles 60.00, 60.00, 60.00 degrees
Positions (direct):
Lu: 0.5000 0.5000 0.5000
Ga: 0.0000 0.0000 0.0000
Au: 0.2500 0.2500 0.2500
Cu: 0.7500 0.7500 0.7500

Calculated density: 11.814 g/cm3

=====

From most stable to least stable, the computed energies give two), one).

=====

one) A plane-wave DFT calculation with PBE was carried out for a geometry-optimized CuGeWAu structure.

Cell lengths 4.4652, 4.4652, 4.4652 Å; angles 60.00, 60.00, 60.00 degrees
Positions (direct):
Au: 0.5000 0.5000 0.5000
Cu: 0.7500 0.7500 0.7500
W: 0.2500 0.2500 0.2500
Ge: 0.0000 0.0000 0.0000

Calculated density: 13.637 g/cm3

=====

two) A plane-wave DFT calculation with PBE was carried out for a geometry-optimized CuGeWAu structure.

Cell lengths 4.5283, 4.5283, 4.5283 Å; angles 60.00, 60.00, 60.00 degrees
Positions (direct):
Cu: 0.7500 0.7500 0.7500
Ge: 0.0000 0.0000 0.0000
W: 0.5000 0.5000 0.5000
Au: 0.2500 0.2500 0.2500

Calculated density: 13.075 g/cm3

=====

From most stable to least stable, the computed energies give one), two).

=====

one) A plane-wave DFT calculation with PBE was carried out for a geometry-optimized YCuGeAu structure.

Cell lengths 4.7447, 4.7447, 4.7447 Å; angles 60.00, 60.00, 60.00 degrees
Positions (direct):
Ge: 0.0000 0.0000 0.0000
Cu: 0.7500 0.7500 0.7500
Au: 0.5000 0.5000 0.5000
Y: 0.2500 0.2500 0.2500

Calculated density: 9.279 g/cm3

=====

two) A plane-wave DFT calculation with PBE was carried out for a geometry-optimized YCuGeAu structure.

Cell lengths 4.7549, 4.7549, 4.7549 Å; angles 60.00, 60.00, 60.00 degrees
Positions (direct):
Y: 0.5000 0.5000 0.5000
Au: 0.2500 0.2500 0.2500
Ge: 0.0000 0.0000 0.0000
Cu: 0.7500 0.7500 0.7500

Calculated density: 9.220 g/cm3

=====

From most stable to least stable, the computed energies give one), two).

=====

one) A plane-wave DFT calculation with PBE was carried out for a geometry-optimized Y2CuGe2Au structure.

Cell lengths 4.3837, 4.3837, 7.3263 Å; angles 90.00, 90.00, 120.00 degrees
Positions (direct):
Y: 0.3333 0.6667 0.0133
Y: 0.3333 0.6667 0.5219
Au: 0.0000 0.0000 0.3012
Cu: 0.6667 0.3333 0.7969
Ge: 0.0000 0.0000 0.7433
Ge: 0.6667 0.3333 0.2225

Calculated density: 7.948 g/cm3

=====

two) A plane-wave DFT calculation with PBE was carried out for a geometry-optimized Y2CuGe2Au structure.

Cell lengths 7.8514, 4.5143, 14.9904 Å; angles 90.00, 99.73, 90.00 degrees
Positions (direct):
Au: 0.7504 0.5000 0.2505
Au: 0.2501 0.0000 0.2491
Au: 0.7488 0.0000 0.7487
Au: 0.4984 0.0000 0.9974
Cu: 0.2488 0.5000 0.7472
Cu: 0.4991 0.5000 0.5052
Cu: 0.0031 0.0000 0.5055
Cu: 0.0022 0.5000 0.9975
Y: 0.1869 0.5000 0.5630
Y: 0.4399 0.5000 0.3208
Y: 0.9468 0.5000 0.8131
Y: 0.4252 0.0000 0.8063
Y: 0.1780 0.0000 0.0581
Y: 0.6854 0.0000 0.5584
Y: 0.9414 0.0000 0.3209
Y: 0.6970 0.5000 0.0601
Ge: 0.0621 0.5000 0.1835
Ge: 0.8158 0.5000 0.4446
Ge: 0.8206 0.0000 0.9376
Ge: 0.3036 0.5000 0.9322
Ge: 0.0676 0.0000 0.6846
Ge: 0.5521 0.5000 0.6835
Ge: 0.5629 0.0000 0.1879
Ge: 0.3138 0.0000 0.4444

Calculated density: 7.402 g/cm3

=====

From most stable to least stable, the computed energies give one), two).

=====

one) A plane-wave DFT calculation with PBE was carried out for a geometry-optimized ZnCuGeAu structure.

Cell lengths 4.4845, 4.4845, 4.4845 Å; angles 60.00, 60.00, 60.00 degrees
Positions (direct):
Cu: 0.7500 0.7500 0.7500
Zn: 0.2500 0.2500 0.2500
Au: 0.5000 0.5000 0.5000
Ge: 0.0000 0.0000 0.0000

Calculated density: 10.378 g/cm3

=====

two) A plane-wave DFT calculation with PBE was carried out for a geometry-optimized ZnCuGeAu structure.

Cell lengths 4.4983, 4.4983, 4.4983 Å; angles 60.00, 60.00, 60.00 degrees
Positions (direct):
Cu: 0.7500 0.7500 0.7500
Ge: 0.0000 0.0000 0.0000
Zn: 0.5000 0.5000 0.5000
Au: 0.2500 0.2500 0.2500

Calculated density: 10.283 g/cm3

=====

From most stable to least stable, the computed energies give one), two).

=====

one) A plane-wave DFT calculation with PBE was carried out for a geometry-optimized ZrCuGeAu structure.

Cell lengths 4.6192, 4.6192, 4.6192 Å; angles 60.00, 60.00, 60.00 degrees
Positions (direct):
Cu: 0.7500 0.7500 0.7500
Au: 0.5000 0.5000 0.5000
Ge: 0.0000 0.0000 0.0000
Zr: 0.2500 0.2500 0.2500

Calculated density: 10.112 g/cm3

=====

two) A plane-wave DFT calculation with PBE was carried out for a geometry-optimized ZrCuGeAu structure.

Cell lengths 4.6350, 4.6350, 4.6350 Å; angles 60.00, 60.00, 60.00 degrees
Positions (direct):
Zr: 0.5000 0.5000 0.5000
Cu: 0.7500 0.7500 0.7500
Ge: 0.0000 0.0000 0.0000
Au: 0.2500 0.2500 0.2500

Calculated density: 10.009 g/cm3

=====

From most stable to least stable, the computed energies give one), two).

=====

one) A plane-wave DFT calculation with PBE was carried out for a geometry-optimized HoCuAu4 structure.

Cell lengths 3.5787, 3.5787, 8.8269 Å; angles 90.00, 90.00, 90.00 degrees
Positions (direct):
Au: 0.0000 0.0000 0.6843
Au: 0.0000 0.0000 0.3157
Au: 0.5000 0.5000 0.8455
Au: 0.5000 0.5000 0.1545
Cu: 0.0000 0.0000 0.0000
Ho: 0.5000 0.5000 0.5000

Calculated density: 14.929 g/cm3

=====

two) A plane-wave DFT calculation with PBE was carried out for a geometry-optimized HoCuAu4 structure.

Cell lengths 5.4982, 5.4982, 5.4982 Å; angles 60.00, 60.00, 60.00 degrees
Positions (direct):
Au: 0.1238 0.6254 0.6254
Au: 0.6254 0.6254 0.1238
Au: 0.6254 0.1238 0.6254
Au: 0.6254 0.6254 0.6254
Ho: 0.2500 0.2500 0.2500
Cu: 0.0000 0.0000 0.0000

Calculated density: 14.359 g/cm3

=====

From most stable to least stable, the computed energies give one), two).

=====

one) A plane-wave DFT calculation with PBE was carried out for a geometry-optimized NbInCuAu structure.

Cell lengths 4.6413, 4.6413, 4.6413 Å; angles 60.00, 60.00, 60.00 degrees
Positions (direct):
In: 0.0000 0.0000 0.0000
Cu: 0.7500 0.7500 0.7500
Au: 0.5000 0.5000 0.5000
Nb: 0.2500 0.2500 0.2500

Calculated density: 10.998 g/cm3

=====

two) A plane-wave DFT calculation with PBE was carried out for a geometry-optimized NbInCuAu structure.

Cell lengths 4.6317, 4.6317, 4.6317 Å; angles 60.00, 60.00, 60.00 degrees
Positions (direct):
Cu: 0.7500 0.7500 0.7500
In: 0.0000 0.0000 0.0000
Au: 0.2500 0.2500 0.2500
Nb: 0.5000 0.5000 0.5000

Calculated density: 11.066 g/cm3

=====

From most stable to least stable, the computed energies give two), one).